Entry 1:
Below is a relaxed structure of La2RhBr, with properties calculated at the GGA-PBE level.

Cell and atoms, written as CIF:
```
data_La2RhBr
_chemical_formula_sum 'La6 Rh3 Br3'
_cell_length_a 4.1822
_cell_length_b 4.1822
_cell_length_c 23.8734
_cell_angle_alpha 90.00
_cell_angle_beta 90.00
_cell_angle_gamma 120.00
_symmetry_space_group_name_H-M 'R -3 m'
_symmetry_Int_Tables_number 166
_symmetry_space_group_name_Hall '-R 3 2"'
loop_
_atom_site_label
_atom_site_type_symbol
_atom_site_fract_x
_atom_site_fract_y
_atom_site_fract_z
La1 La 0.0000 0.0000 0.2321
Rh1 Rh 0.0000 0.0000 0.5000
Br1 Br 0.0000 0.0000 0.0000
```

## Properties
Energy relative to the elements, uncorrected = -1.1881 eV/atom
Calculated volume = 121 Å³/f.u.

Entry 2:
Below is a relaxed structure of AlNi4Pd, with properties calculated at the GGA-PBE level.

Cell and atoms, written as CIF:
```
data_AlNi4Pd
_chemical_formula_sum 'Al4 Ni16 Pd4'
_cell_length_a 6.6569
_cell_length_b 6.6569
_cell_length_c 6.6569
_cell_angle_alpha 90.00
_cell_angle_beta 90.00
_cell_angle_gamma 90.00
_symmetry_space_group_name_H-M 'F -4 3 m'
_symmetry_Int_Tables_number 216
_symmetry_space_group_name_Hall 'F -4 2 3'
loop_
_atom_site_label
_atom_site_type_symbol
_atom_site_fract_x
_atom_site_fract_y
_atom_site_fract_z
Al1 Al 0.0000 0.0000 0.0000
Ni1 Ni 0.1251 0.1251 0.3749
Pd1 Pd 0.2500 0.2500 0.7500
```

## Properties
E_form = -0.18 eV/atom
Calculated volume = 74 Å³/f.u.

Entry 3:
Below is a relaxed structure of PtSe5, with properties calculated at the GGA-PBE level.

Cell and atoms, written as CIF:
```
data_PtSe5
_chemical_formula_sum 'Pt2 Se10'
_cell_length_a 8.1930
_cell_length_b 3.7207
_cell_length_c 9.6894
_cell_angle_alpha 90.00
_cell_angle_beta 94.88
_cell_angle_gamma 90.00
_symmetry_space_group_name_H-M 'C 1 2/m 1'
_symmetry_Int_Tables_number 12
_symmetry_space_group_name_Hall '-C 2y'
loop_
_atom_site_label
_atom_site_type_symbol
_atom_site_fract_x
_atom_site_fract_y
_atom_site_fract_z
Pt1 Pt 0.0000 0.0000 0.0000
Se1 Se 0.0000 0.0000 0.5000
Se2 Se 0.1045 0.5000 0.3309
Se3 Se 0.1081 0.5000 0.8643
```

## Properties
Energy relative to the elements, uncorrected = -0.1093 eV/atom
Calculated volume = 147 Å³/f.u.

Entry 4:
Below is a relaxed structure of PmDy5YHo2, with properties calculated at the GGA-PBE level.

Cell and atoms, written as CIF:
```
data_PmDy5YHo2
_chemical_formula_sum 'Pm4 Dy20 Y4 Ho8'
_cell_length_a 5.6007
_cell_length_b 19.7523
_cell_length_c 10.6061
_cell_angle_alpha 90.00
_cell_angle_beta 90.00
_cell_angle_gamma 90.00
_symmetry_space_group_name_H-M 'C m c 21'
_symmetry_Int_Tables_number 36
_symmetry_space_group_name_Hall 'C 2c -2'
loop_
_atom_site_label
_atom_site_type_symbol
_atom_site_fract_x
_atom_site_fract_y
_atom_site_fract_z
Pm1 Pm 0.0000 0.0841 0.0000
Dy1 Dy 0.0000 0.0212 0.2838
Dy2 Dy 0.0000 0.1111 0.5687
Dy3 Dy 0.0000 0.2012 0.2558
Dy4 Dy 0.0000 0.2176 0.8567
Dy5 Dy 0.0000 0.4817 0.5706
Y1 Y 0.0000 0.2994 0.5580
Ho1 Ho 0.0000 0.3860 0.8655
Ho2 Ho 0.0000 0.3895 0.2817
```

## Properties
E_form = 0.16 eV/atom
Calculated volume = 293 Å³/f.u.

Entry 5:
Below is a relaxed structure of Sm6PS3N2, with properties calculated at the GGA-PBE level.

Cell and atoms, written as CIF:
```
data_Sm6PS3N2
_chemical_formula_sum 'Sm12 P2 S6 N4'
_cell_length_a 17.1166
_cell_length_b 3.8476
_cell_length_c 7.8936
_cell_angle_alpha 90.00
_cell_angle_beta 105.04
_cell_angle_gamma 90.00
_symmetry_space_group_name_H-M 'C 1 2/m 1'
_symmetry_Int_Tables_number 12
_symmetry_space_group_name_Hall '-C 2y'
loop_
_atom_site_label
_atom_site_type_symbol
_atom_site_fract_x
_atom_site_fract_y
_atom_site_fract_z
Sm1 Sm 0.0156 0.0000 0.2573
Sm2 Sm 0.1695 0.5000 0.1158
Sm3 Sm 0.1776 0.5000 0.5637
P1 P 0.0000 0.5000 0.0000
S1 S 0.0000 0.5000 0.5000
S2 S 0.1628 0.0000 0.8308
N1 N 0.1706 0.0000 0.3370
```

## Properties
Energy relative to the elements, uncorrected = -1.7623 eV/atom
Calculated volume = 251 Å³/f.u.

Entry 6:
Below is a relaxed structure of SrS2I, with properties calculated at the GGA-PBE level.

Cell and atoms, written as CIF:
```
data_SrS2I
_chemical_formula_sum 'Sr3 S6 I3'
_cell_length_a 4.5927
_cell_length_b 4.5927
_cell_length_c 23.8407
_cell_angle_alpha 90.00
_cell_angle_beta 90.00
_cell_angle_gamma 120.00
_symmetry_space_group_name_H-M 'R -3 m'
_symmetry_Int_Tables_number 166
_symmetry_space_group_name_Hall '-R 3 2"'
loop_
_atom_site_label
_atom_site_type_symbol
_atom_site_fract_x
_atom_site_fract_y
_atom_site_fract_z
Sr1 Sr 0.0000 0.0000 0.0000
S1 S 0.0000 0.0000 0.3920
I1 I 0.0000 0.0000 0.5000
```

## Properties
Energy relative to the elements, uncorrected = -0.7750 eV/atom
Calculated volume = 145 Å³/f.u.

Entry 7:
Below is a relaxed structure of ZrBi3Os, with properties calculated at the GGA-PBE level.

Cell and atoms, written as CIF:
```
data_ZrBi3Os
_chemical_formula_sum 'Zr1 Bi3 Os1'
_cell_length_a 5.3114
_cell_length_b 5.3114
_cell_length_c 5.3114
_cell_angle_alpha 90.00
_cell_angle_beta 90.00
_cell_angle_gamma 90.00
_symmetry_space_group_name_H-M 'P m -3 m'
_symmetry_Int_Tables_number 221
_symmetry_space_group_name_Hall '-P 4 2 3'
loop_
_atom_site_label
_atom_site_type_symbol
_atom_site_fract_x
_atom_site_fract_y
_atom_site_fract_z
Zr1 Zr 0.0000 0.0000 0.0000
Bi1 Bi 0.0000 0.5000 0.5000
Os1 Os 0.5000 0.5000 0.5000
```

## Properties
E_form = 0.99 eV/atom
Calculated volume = 150 Å³/f.u.

Entry 8:
Below is a relaxed structure of NaZnAsH4O6, with properties calculated at the GGA-PBE level.

Cell and atoms, written as CIF:
```
data_NaZnAsH4O6
_chemical_formula_sum 'Na2 Zn2 As2 H8 O12'
_cell_length_a 5.7789
_cell_length_b 6.2072
_cell_length_c 8.0599
_cell_angle_alpha 91.61
_cell_angle_beta 93.76
_cell_angle_gamma 91.49
_symmetry_space_group_name_H-M 'P -1'
_symmetry_Int_Tables_number 2
_symmetry_space_group_name_Hall '-P 1'
loop_
_atom_site_label
_atom_site_type_symbol
_atom_site_fract_x
_atom_site_fract_y
_atom_site_fract_z
Na1 Na 0.0000 0.0000 0.0000
Na2 Na 0.5000 0.5000 0.0000
Zn1 Zn 0.1990 0.2503 0.6090
As1 As 0.3130 0.7551 0.6157
H1 H 0.0334 0.4054 0.1522
H2 H 0.2485 0.2957 0.2344
H3 H 0.3669 0.8881 0.9616
H4 H 0.4491 0.8998 0.1541
O1 O 0.1395 0.7671 0.4377
O2 O 0.1686 0.3218 0.1230
O3 O 0.2495 0.5346 0.7354
O4 O 0.2837 0.9866 0.7433
O5 O 0.3400 0.8252 0.0699
O6 O 0.3967 0.2543 0.4184
```

## Properties
Raw total energy = -5.154 eV/atom
Calculated volume = 144 Å³/f.u.

Entry 9:
Below is a relaxed structure of KAsIrSe2, with properties calculated at the GGA-PBE level.

Cell and atoms, written as CIF:
```
data_KAsIrSe2
_chemical_formula_sum 'K1 As1 Ir1 Se2'
_cell_length_a 5.3000
_cell_length_b 5.3000
_cell_length_c 4.6243
_cell_angle_alpha 90.00
_cell_angle_beta 90.00
_cell_angle_gamma 90.00
_symmetry_space_group_name_H-M 'P 4/m m m'
_symmetry_Int_Tables_number 123
_symmetry_space_group_name_Hall '-P 4 2'
loop_
_atom_site_label
_atom_site_type_symbol
_atom_site_fract_x
_atom_site_fract_y
_atom_site_fract_z
K1 K 0.0000 0.0000 0.0000
As1 As 0.5000 0.5000 0.0000
Ir1 Ir 0.5000 0.5000 0.5000
Se1 Se 0.0000 0.5000 0.5000
```

## Properties
Energy relative to the elements, uncorrected = -0.0151 eV/atom
Calculated volume = 130 Å³/f.u.

Entry 10:
Below is a relaxed structure of Dy5Hg2Ir, with properties calculated at the GGA-PBE level.

Cell and atoms, written as CIF:
```
data_Dy5Hg2Ir
_chemical_formula_sum 'Dy20 Hg8 Ir4'
_cell_length_a 5.6906
_cell_length_b 12.3686
_cell_length_c 12.6652
_cell_angle_alpha 90.00
_cell_angle_beta 90.00
_cell_angle_gamma 90.00
_symmetry_space_group_name_H-M 'C m c m'
_symmetry_Int_Tables_number 63
_symmetry_space_group_name_Hall '-C 2c 2'
loop_
_atom_site_label
_atom_site_type_symbol
_atom_site_fract_x
_atom_site_fract_y
_atom_site_fract_z
Dy1 Dy 0.0000 0.0762 0.1045
Dy2 Dy 0.0000 0.3751 0.0695
Dy3 Dy 0.0000 0.3864 0.7500
Hg1 Hg 0.0000 0.1780 0.6269
Ir1 Ir 0.0000 0.2335 0.2500
```

## Properties
E_form = -0.26 eV/atom
Calculated volume = 223 Å³/f.u.

Entry 11:
Below is a relaxed structure of SnIrAu, with properties calculated at the GGA-PBE level.

Cell and atoms, written as CIF:
```
data_SnIrAu
_chemical_formula_sum 'Sn1 Ir1 Au1'
_cell_length_a 3.0226
_cell_length_b 4.4370
_cell_length_c 4.7174
_cell_angle_alpha 90.00
_cell_angle_beta 90.00
_cell_angle_gamma 90.00
_symmetry_space_group_name_H-M 'P m m m'
_symmetry_Int_Tables_number 47
_symmetry_space_group_name_Hall '-P 2 2'
loop_
_atom_site_label
_atom_site_type_symbol
_atom_site_fract_x
_atom_site_fract_y
_atom_site_fract_z
Sn1 Sn 0.0000 0.0000 0.0000
Ir1 Ir 0.5000 0.5000 0.0000
Au1 Au 0.0000 0.5000 0.5000
```

## Properties
E_form = 0.02 eV/atom
Calculated volume = 63 Å³/f.u.

Entry 12:
Below is a relaxed structure of Pm4TmTh3Se8, with properties calculated at the GGA-PBE level.

Cell and atoms, written as CIF:
```
data_Pm4TmTh3Se8
_chemical_formula_sum 'Pm12 Tm3 Th9 Se24'
_cell_length_a 8.3284
_cell_length_b 8.3284
_cell_length_c 20.6069
_cell_angle_alpha 90.00
_cell_angle_beta 90.00
_cell_angle_gamma 120.00
_symmetry_space_group_name_H-M 'R -3 m'
_symmetry_Int_Tables_number 166
_symmetry_space_group_name_Hall '-R 3 2"'
loop_
_atom_site_label
_atom_site_type_symbol
_atom_site_fract_x
_atom_site_fract_y
_atom_site_fract_z
Pm1 Pm 0.0000 0.0000 0.0000
Pm2 Pm 0.0000 0.5000 0.0000
Tm1 Tm 0.0000 0.0000 0.5000
Th1 Th 0.0000 0.5000 0.5000
Se1 Se 0.0000 0.0000 0.2515
Se2 Se 0.0093 0.5047 0.2488
```

## Properties
Energy relative to the elements, uncorrected = -1.6920 eV/atom
Calculated volume = 413 Å³/f.u.

Copy entry 8 word for word.
Below is a relaxed structure of NaZnAsH4O6, with properties calculated at the GGA-PBE level.

Cell and atoms, written as CIF:
```
data_NaZnAsH4O6
_chemical_formula_sum 'Na2 Zn2 As2 H8 O12'
_cell_length_a 5.7789
_cell_length_b 6.2072
_cell_length_c 8.0599
_cell_angle_alpha 91.61
_cell_angle_beta 93.76
_cell_angle_gamma 91.49
_symmetry_space_group_name_H-M 'P -1'
_symmetry_Int_Tables_number 2
_symmetry_space_group_name_Hall '-P 1'
loop_
_atom_site_label
_atom_site_type_symbol
_atom_site_fract_x
_atom_site_fract_y
_atom_site_fract_z
Na1 Na 0.0000 0.0000 0.0000
Na2 Na 0.5000 0.5000 0.0000
Zn1 Zn 0.1990 0.2503 0.6090
As1 As 0.3130 0.7551 0.6157
H1 H 0.0334 0.4054 0.1522
H2 H 0.2485 0.2957 0.2344
H3 H 0.3669 0.8881 0.9616
H4 H 0.4491 0.8998 0.1541
O1 O 0.1395 0.7671 0.4377
O2 O 0.1686 0.3218 0.1230
O3 O 0.2495 0.5346 0.7354
O4 O 0.2837 0.9866 0.7433
O5 O 0.3400 0.8252 0.0699
O6 O 0.3967 0.2543 0.4184
```

## Properties
Raw total energy = -5.154 eV/atom
Calculated volume = 144 Å³/f.u.

What is the calculated volume in the fourth record? 293 Å³/f.u.

Which value of calculated volume does entry 8 give? 144 Å³/f.u.